Material: TaCd2Te
Method: DFT, PBE
State: relaxed

The crystal system is tetragonal. Its magnetization is 0.0 μB per formula unit. The uncorrected formation energy is 0.436 eV/atom.

Cell and atoms, written as POSCAR:
```
TaCd2Te
1.0
3.956 0.000 0.000
0.000 3.956 0.000
0.000 0.000 5.656
Ta Cd Te
1 2 1
Direct
0.000 0.000 0.000 Ta
0.500 0.500 0.237 Cd
0.500 0.500 0.763 Cd
0.000 0.000 0.500 Te
```